(1)
The following is a DFT calculation (GGA-PBE) of a relaxed LiSc2PbC crystal.

Cell lengths 4.531, 4.531, 4.392 Å; angles 90.00, 90.00, 90.00 degrees
Space group P4/mmm (No. 123)
Inequivalent atoms, fractional coordinates:
Li (0.000, 0.000, 0.000) [1 per cell]
Sc (0.000, 0.500, 0.500) [2 per cell]
Pb (0.500, 0.500, 0.000) [1 per cell]
C (0.000, 0.000, 0.500) [1 per cell]

Calculated values
Raw total energy, eV per atom: -5.88



(2)
The following is a DFT calculation (GGA-PBE) of a relaxed Pr2Pu3NpSe6 crystal.

Cell lengths 18.250, 4.169, 8.376 Å; angles 90.00, 103.69, 90.00 degrees
Space group C2/m (No. 12)
Inequivalent atoms, fractional coordinates:
Pr (0.167, 0.000, 0.336) [4 per cell]
Pu (0.000, 0.500, 0.500) [2 per cell]
Pu (0.168, 0.000, 0.834) [4 per cell]
Np (0.000, 0.500, 0.000) [2 per cell]
Se (0.004, 0.000, 0.754) [4 per cell]
Se (0.164, 0.500, 0.590) [4 per cell]
Se (0.165, 0.500, 0.075) [4 per cell]

Calculated values
E_form (uncorrected), eV per atom: -1.567



(3)
The following is a DFT calculation (GGA-PBE) of a relaxed BaCoI2 crystal.

Cell lengths 8.239, 8.239, 7.322 Å; angles 90.00, 90.00, 90.00 degrees
Space group I-42d (No. 122)
Inequivalent atoms, fractional coordinates:
Ba (0.000, 0.000, 0.000) [4 per cell]
Co (0.000, 0.000, 0.500) [4 per cell]
I (0.152, 0.250, 0.625) [8 per cell]

Calculated values
Offset from the most stable computed form, meV per atom: 0
E_form (uncorrected), eV per atom: -0.549



(4)
The following is a DFT calculation (GGA-PBE) of a relaxed HfAuS2N crystal.

Cell lengths 4.859, 4.859, 3.852 Å; angles 90.00, 90.00, 90.00 degrees
Space group P4/mmm (No. 123)
Inequivalent atoms, fractional coordinates:
Hf (0.000, 0.000, 0.000) [1 per cell]
Au (0.500, 0.500, 0.500) [1 per cell]
S (0.000, 0.500, 0.500) [2 per cell]
N (0.500, 0.500, 0.000) [1 per cell]

Calculated values
Offset from the most stable computed form, meV per atom: 687
E_form (uncorrected), eV per atom: 0.853